No. 1
Entry from Alexandria: a relaxed structure of NdSm2Tl (PBE-GGA).

Summary:
DFT total energy   -4.3413 eV/atom
Symmetry   No. 123
DOS(E_F)   6.6 states/eV/f.u.
DFT formation energy   -0.198 eV/atom
Offset from the most stable computed form   0.0000 eV per atom

a = 4.9360 Å, b = 4.9735 Å, c = 4.9735 Å
α = 90.00°, β = 90.00°, γ = 90.00°
Closest atoms and distances in Å follow each position.
Element x y z (fractional)
Nd: 0.5000 0.5000 0.5000  8 Sm 3.50, 4 Tl 3.52
Sm: 0.0000 0.0000 0.5000  4 Tl 3.50, 4 Nd 3.50, 4 Sm 3.52
Sm: 0.0000 0.5000 0.0000  4 Tl 3.50, 4 Nd 3.50, 4 Sm 3.52
Tl: 0.5000 0.0000 0.0000  8 Sm 3.50, 4 Nd 3.52

No. 2
Entry from Alexandria: a relaxed structure of Nd2Sm2Tl3 (PBE-GGA).

Summary:
DFT total energy   -3.9778 eV/atom
Symmetry   No. 65
DOS(E_F)   7.7 states/eV/f.u.
DFT formation energy   -0.253 eV/atom
Offset from the most stable computed form   0.0185 eV per atom

a = 3.6122 Å, b = 3.5969 Å, c = 16.5555 Å
α = 90.00°, β = 83.74°, γ = 90.00°
Closest atoms and distances in Å follow each position.
Element x y z (fractional)
Tl: 0.1373 0.0000 0.7254  4 Sm 3.31, 4 Nd 3.41, 4 Tl 3.60-3.61
Tl: 0.0000 0.0000 0.0000  8 Nd 3.40, 4 Tl 3.60-3.61
Tl: 0.8627 0.0000 0.2746  4 Sm 3.31, 4 Nd 3.41, 4 Tl 3.60-3.61
Sm: 0.7014 0.5000 0.5972  4 Tl 3.31, 6 Sm 3.60-3.67
Sm: 0.2986 0.5000 0.4028  4 Tl 3.31, 6 Sm 3.60-3.67
Nd: 0.4316 0.5000 0.1369  8 Tl 3.40-3.41, 4 Nd 3.60-3.61
Nd: 0.5684 0.5000 0.8631  8 Tl 3.40-3.41, 4 Nd 3.60-3.61

No. 3
Entry from Alexandria: a relaxed structure of Nd6SmTl3 (PBE-GGA).

Summary:
DFT total energy   -4.1494 eV/atom
Symmetry   No. 36
DOS(E_F)   12.9 states/eV/f.u.
DFT formation energy   -0.107 eV/atom
Offset from the most stable computed form   0.0952 eV per atom

a = 7.9224 Å, b = 9.5947 Å, c = 9.5947 Å
α = 111.68°, β = 90.00°, γ = 90.00°
Closest atoms and distances in Å follow each position.
Element x y z (fractional)
Nd: 0.1047 0.3012 0.2318  4 Tl 3.26-3.41, 3 Nd 3.48-3.65
Nd: 0.7913 0.4564 0.0794  3 Tl 3.17-3.30, 1 Sm 3.44, 1 Nd 3.48
Nd: 0.2913 0.0794 0.4564  3 Tl 3.17-3.30, 1 Sm 3.44, 1 Nd 3.48
Nd: 0.2917 0.9538 0.0462  1 Sm 3.42, 4 Tl 3.45-3.55, 6 Nd 3.48-3.80
Nd: 0.1349 0.7003 0.2997  3 Tl 3.43-3.48, 6 Nd 3.60-3.70
Nd: 0.7917 0.0462 0.9538  1 Sm 3.42, 4 Tl 3.45-3.55, 6 Nd 3.48-3.80
Nd: 0.6349 0.2997 0.7003  3 Tl 3.43-3.48, 6 Nd 3.60-3.70
Nd: 0.7913 0.9206 0.5436  3 Tl 3.17-3.30, 1 Sm 3.44, 1 Nd 3.48
Nd: 0.2913 0.5436 0.9206  3 Tl 3.17-3.30, 1 Sm 3.44, 1 Nd 3.48
Nd: 0.6047 0.6988 0.7682  4 Tl 3.26-3.41, 3 Nd 3.48-3.65
Nd: 0.6047 0.2318 0.3012  4 Tl 3.26-3.41, 3 Nd 3.48-3.65
Nd: 0.1047 0.7682 0.6988  4 Tl 3.26-3.41, 3 Nd 3.48-3.65
Tl: 0.4320 0.2813 0.0143  7 Nd 3.17-3.55, 1 Tl 3.19, 1 Sm 3.36
Tl: 0.4320 0.9857 0.7187  7 Nd 3.17-3.55, 1 Tl 3.19, 1 Sm 3.36
Tl: 0.9320 0.0143 0.2813  7 Nd 3.17-3.55, 1 Tl 3.19, 1 Sm 3.36
Tl: 0.3170 0.4463 0.5537  7 Nd 3.30-3.43
Tl: 0.9320 0.7187 0.9857  7 Nd 3.17-3.55, 1 Tl 3.19, 1 Sm 3.36
Tl: 0.8170 0.5537 0.4463  7 Nd 3.30-3.43
Sm: 0.5858 0.7965 0.2035  2 Tl 3.36, 5 Nd 3.42-3.72
Sm: 0.0858 0.2035 0.7965  2 Tl 3.36, 5 Nd 3.42-3.72

No. 4
Entry from Alexandria: a relaxed structure of Nd6Sm2Tl3 (PBE-GGA).

Summary:
DFT total energy   -3.8968 eV/atom
Symmetry   No. 139
DOS(E_F)   9.8 states/eV/f.u.
DFT formation energy   0.207 eV/atom

a = 5.4810 Å, b = 5.4810 Å, c = 13.0940 Å
α = 102.08°, β = 102.08°, γ = 90.00°
Closest atoms and distances in Å follow each position.
Element x y z (fractional)
Nd: 0.1005 0.6005 0.2009  2 Sm 2.94
Nd: 0.3011 0.3011 0.6022  1 Tl 3.16, 1 Sm 3.53
Nd: 0.8995 0.3995 0.7991  2 Sm 2.94
Nd: 0.6989 0.6989 0.3978  1 Tl 3.16, 1 Sm 3.53
Nd: 0.6005 0.1005 0.2009  2 Sm 2.94
Nd: 0.3995 0.8995 0.7991  2 Sm 2.94
Sm: 0.5577 0.5577 0.1154  1 Sm 2.89, 4 Nd 2.94
Sm: 0.4423 0.4423 0.8846  1 Sm 2.89, 4 Nd 2.94
Tl: 0.0000 0.0000 0.0000  8 Nd 3.72, 8 Sm 4.14
Tl: 0.8253 0.8253 0.6506  5 Nd 3.16-3.31
Tl: 0.1747 0.1747 0.3494  5 Nd 3.16-3.31